Entry from Alexandria via LeMat-Bulk: AlBr3 after structural relaxation (GGA-PBE).

## Properties
Uncorrected formation energy in eV/atom: -0.8815
Calculated volume in Å³/atom: 37.1
SG: No. 59

Cell and atoms, written as POSCAR:
```
AlBr3
1.0
-2.6388 -1.9197 0.8610
5.1247 -5.5379 3.3586
-0.6415 5.0707 9.3396
Al Br
2 6
direct
0.0000 0.0000 0.7122
0.5000 0.5000 0.2878
0.5000 0.0000 0.5310
0.0000 0.5000 0.4690
0.0000 0.7025 0.1967
0.0000 0.2975 0.1967
0.5000 0.2025 0.8033
0.5000 0.7975 0.8033
```

---

Entry from Alexandria via LeMat-Bulk: AlBr after structural relaxation (GGA-PBE).

## Properties
Uncorrected formation energy in eV/atom: -0.4437
Calculated volume in Å³/atom: 32.4
SG: No. 87

Cell and atoms, written as POSCAR:
```
AlBr
1.0
-9.0387 7.1261 -3.9095
-6.6521 -3.1257 9.6821
1.3489 2.6971 1.7975
Al Br
8 8
direct
0.4551 0.6438 0.0000
0.5449 0.3562 0.0000
0.3562 0.4551 0.0000
0.6438 0.5449 0.0000
0.9551 0.1438 0.5000
0.0449 0.8562 0.5000
0.8562 0.9551 0.5000
0.1438 0.0449 0.5000
0.2850 0.0879 0.0000
0.7150 0.9121 0.0000
0.9121 0.2850 0.0000
0.0879 0.7150 0.0000
0.7850 0.5879 0.5000
0.2150 0.4121 0.5000
0.4121 0.7850 0.5000
0.5879 0.2150 0.5000
```

---

Entry from Alexandria via LeMat-Bulk: AlBr3 after structural relaxation (GGA-PBE).

## Properties
Uncorrected formation energy in eV/atom: -0.8814
Calculated volume in Å³/atom: 36.6
SG: No. 44

Cell and atoms, written as POSCAR:
```
AlBr3
1.0
-0.8988 -1.7483 -6.9083
6.0914 -2.3214 -3.0157
-5.5430 -0.6500 4.5212
Al Br
1 3
direct
0.9584 0.0000 0.9584
0.6928 0.5000 0.1928
0.9506 0.3596 0.5910
0.2314 0.6404 0.5910
```